[1]
A geometry-optimized PaSe2I4 structure, computed with PBE-GGA.

E_form (uncorrected): -578 meV per atom

Unit cell a=19.948 b=4.331 c=8.396 alpha=90.00 beta=98.86 gamma=90.00
Space group C2/m (No. 12)
Unique sites:
1 Pa 0.000 0.000 0.000
2 Se 0.243 0.000 0.436
3 I 0.059 0.500 0.245
4 I 0.126 0.000 0.864

***

[2]
A geometry-optimized PaSiI structure, computed with PBE-GGA.

E_form (uncorrected): -720 meV per atom

Unit cell a=7.126 b=4.115 c=11.988 alpha=90.00 beta=91.13 gamma=90.00
Space group C2/m (No. 12)
Unique sites:
1 Pa 0.005 0.000 0.146
2 Si 0.167 0.500 0.999
3 I 0.178 0.500 0.331

***

[3]
A geometry-optimized SmPaI6 structure, computed with PBE-GGA.

E_form (uncorrected): -1078 meV per atom

Unit cell a=7.565 b=14.820 c=7.561 alpha=90.00 beta=110.65 gamma=90.00
Space group C2/m (No. 12)
Unique sites:
1 Sm 0.000 0.000 0.000
2 Pa 0.000 0.500 0.500
3 I 0.248 0.349 0.750
4 I 0.249 0.500 0.253

***

[4]
A geometry-optimized SmPa2I8 structure, computed with PBE-GGA.

E_form (uncorrected): -800 meV per atom

Unit cell a=15.335 b=12.312 c=6.374 alpha=90.00 beta=90.66 gamma=90.00
Space group C2/m (No. 12)
Unique sites:
1 Sm 0.000 0.000 0.000
2 Pa 0.195 0.000 0.275
3 I 0.085 0.201 0.248
4 I 0.113 0.500 0.748
5 I 0.186 0.000 0.771

***

[5]
A geometry-optimized SmPaI structure, computed with PBE-GGA.

E_form (uncorrected): -217 meV per atom

Unit cell a=11.460 b=3.598 c=9.264 alpha=90.00 beta=115.51 gamma=90.00
Space group C2/m (No. 12)
Unique sites:
1 Sm 0.074 0.000 0.335
2 Pa 0.131 0.500 0.022
3 I 0.159 0.500 0.673

***

[6]
A geometry-optimized Pa2SnI8 structure, computed with PBE-GGA.

E_form (uncorrected): -710 meV per atom

Unit cell a=10.408 b=13.450 c=9.564 alpha=90.00 beta=95.38 gamma=90.00
Space group C2/m (No. 12)
Unique sites:
1 Pa 0.117 0.000 0.303
2 Sn 0.000 0.000 0.000
3 I 0.082 0.206 0.213
4 I 0.108 0.500 0.727
5 I 0.174 0.000 0.624

***

Ordered V results: 716.68 351.46 793.18 1203.36 344.75 1332.99; unit Å³ per cell.
Ordered total magnetic moment results: 1.66 2.13 4.01 5.97 0.00 0.65; unit μB/cell.